Nd4TlAuO | PBE-GGA | relaxed

POSCAR file:
```
Nd4TlAuO
1.0
-5.559 -0.845 4.020
-0.141 -6.749 -1.614
7.482 -1.152 4.163
Nd Tl Au O
8 2 2 2
direct
0.939 0.250 0.879 Nd
0.420 0.750 0.840 Nd
0.061 0.750 0.121 Nd
0.580 0.250 0.160 Nd
0.500 0.500 0.500 Nd
0.000 0.000 0.500 Nd
0.500 0.000 0.500 Nd
0.000 0.500 0.500 Nd
0.615 0.750 0.230 Tl
0.385 0.250 0.770 Tl
0.122 0.250 0.244 Au
0.878 0.750 0.756 Au
0.258 0.750 0.516 O
0.742 0.250 0.484 O
```

Values from the calculation:
SG: Cmcm (63)
D(E_F) (states/eV/atom): 0.525
ΔE_f (raw) (eV per atom): -1.09